MgTe3 | PBE-GGA | relaxed

abc: 8.0155 8.0155 8.0155
angles: 30.73 30.73 30.73
Closest atoms and distances in Å follow each position.
Element x y z (fractional)
Mg 0.0000 0.0000 0.0000  6 Te 2.97
Te 0.5000 0.5000 0.5000  6 Te 3.25
Te 0.7400 0.7400 0.7400  3 Mg 2.97, 3 Te 3.25
Te 0.2600 0.2600 0.2600  3 Mg 2.97, 3 Te 3.25

Values from the calculation:
Energy   -2.92 eV/atom
SG   R-3m (166)